Entry 1:
The following is a PBE calculation of a relaxed structure of CrRhSe3, from Alexandria.

Lattice parameters (Å, degrees): 4.651 4.651 4.651 90.00 90.00 90.00
Element x y z (fractional)
Cr (0.000, 0.000, 0.000)
Rh (0.500, 0.500, 0.500)
Se (0.000, 0.000, 0.500)
Se (0.000, 0.500, 0.000)
Se (0.500, 0.000, 0.000)

Values from the calculation:
**Total DFT energy (no corrections)**: -4.863 eV/atom
**E_form (uncorrected)**: 0.62 eV/atom
**Space-group type**: Pm-3m, No. 221
**Crystal system**: cubic
**Polymorph energy (0 for the lowest one)**: 907 meV/atom

Entry 2:
The following is a PBE calculation of a relaxed structure of Cr2RhSe, from Alexandria.

Lattice parameters (Å, degrees): 4.433 4.433 3.041 90.00 90.00 105.23
Element x y z (fractional)
Cr (0.000, 0.500, 0.000)
Cr (0.500, 0.000, 0.000)
Rh (0.000, 0.000, 0.500)
Se (0.500, 0.500, 0.500)

Values from the calculation:
**Total DFT energy (no corrections)**: -7.341 eV/atom
**E_form (uncorrected)**: 0.18 eV/atom
**Space-group type**: Cmmm, No. 65
**Crystal system**: orthorhombic

Entry 3:
The following is a PBE calculation of a relaxed structure of Cr3RhSe6, from Alexandria.

Lattice parameters (Å, degrees): 6.780 6.270 11.975 90.00 124.17 90.00
Element x y z (fractional)
Cr (0.000, 0.000, 0.000)
Cr (0.000, 0.500, 0.500)
Cr (0.464, 0.122, 0.747)
Cr (0.464, 0.378, 0.247)
Cr (0.536, 0.622, 0.753)
Cr (0.536, 0.878, 0.253)
Rh (0.500, 0.000, 0.500)
Rh (0.500, 0.500, 0.000)
Se (0.193, 0.110, 0.252)
Se (0.193, 0.390, 0.752)
Se (0.225, 0.651, 0.062)
Se (0.225, 0.849, 0.562)
Se (0.400, 0.151, 0.061)
Se (0.400, 0.349, 0.561)
Se (0.600, 0.651, 0.439)
Se (0.600, 0.849, 0.939)
Se (0.775, 0.151, 0.438)
Se (0.775, 0.349, 0.938)
Se (0.807, 0.610, 0.248)
Se (0.807, 0.890, 0.748)

Values from the calculation:
**Total DFT energy (no corrections)**: -6.071 eV/atom
**E_form (uncorrected)**: -0.36 eV/atom
**Space-group type**: P2_1/c, No. 14
**Crystal system**: monoclinic

Entry 4:
The following is a PBE calculation of a relaxed structure of CrRhSe, from Alexandria.

Lattice parameters (Å, degrees): 2.902 2.902 6.044 90.00 90.00 120.00
Element x y z (fractional)
Cr (0.000, 0.000, 0.000)
Rh (0.333, 0.667, 0.321)
Se (0.667, 0.333, 0.711)

Values from the calculation:
**Total DFT energy (no corrections)**: -6.700 eV/atom
**E_form (uncorrected)**: 0.12 eV/atom
**Space-group type**: P3m1, No. 156
**Crystal system**: trigonal
**Polymorph energy (0 for the lowest one)**: 136 meV/atom

Entry 5:
The following is a PBE calculation of a relaxed structure of CrRh4Se, from Alexandria.

Lattice parameters (Å, degrees): 5.153 5.153 5.153 60.00 60.00 60.00
Element x y z (fractional)
Cr (0.000, 0.000, 0.000)
Rh (0.125, 0.625, 0.625)
Rh (0.625, 0.125, 0.625)
Rh (0.625, 0.625, 0.125)
Rh (0.625, 0.625, 0.625)
Se (0.250, 0.250, 0.250)

Values from the calculation:
**Total DFT energy (no corrections)**: -6.627 eV/atom
**E_form (uncorrected)**: 0.46 eV/atom
**Space-group type**: F-43m, No. 216
**Crystal system**: cubic

Entry 6:
The following is a PBE calculation of a relaxed structure of Cr2RhSe, from Alexandria.

Lattice parameters (Å, degrees): 4.739 4.739 4.284 93.08 93.08 36.24
Element x y z (fractional)
Cr (0.233, 0.233, 0.200)
Cr (0.767, 0.767, 0.800)
Rh (0.500, 0.500, 0.000)
Se (0.000, 0.000, 0.500)

Values from the calculation:
**Total DFT energy (no corrections)**: -7.241 eV/atom
**E_form (uncorrected)**: 0.28 eV/atom
**Space-group type**: C2/m, No. 12
**Crystal system**: monoclinic

Entry 7:
The following is a PBE calculation of a relaxed structure of CrRhSe, from Alexandria.

Lattice parameters (Å, degrees): 4.105 4.105 3.287 90.00 90.00 120.00
Element x y z (fractional)
Cr (0.000, 0.000, 0.000)
Rh (0.333, 0.667, 0.484)
Se (0.667, 0.333, 0.641)

Values from the calculation:
**Total DFT energy (no corrections)**: -6.812 eV/atom
**E_form (uncorrected)**: 0.01 eV/atom
**Space-group type**: P3m1, No. 156
**Crystal system**: trigonal
**Polymorph energy (0 for the lowest one)**: 25 meV/atom

Entry 8:
The following is a PBE calculation of a relaxed structure of Cr2RhSe, from Alexandria.

Lattice parameters (Å, degrees): 8.230 8.230 8.230 19.99 19.99 19.99
Element x y z (fractional)
Cr (0.000, 0.000, 0.000)
Cr (0.254, 0.254, 0.254)
Rh (0.507, 0.507, 0.507)
Se (0.740, 0.740, 0.740)

Values from the calculation:
**Total DFT energy (no corrections)**: -7.300 eV/atom
**E_form (uncorrected)**: 0.22 eV/atom
**Space-group type**: R3m, No. 160
**Crystal system**: trigonal

Entry 9:
The following is a PBE calculation of a relaxed structure of CrRhSe4, from Alexandria.

Lattice parameters (Å, degrees): 6.566 6.566 6.075 116.80 116.80 32.07
Element x y z (fractional)
Cr (0.000, 0.000, 0.000)
Rh (0.500, 0.500, 0.500)
Se (0.127, 0.127, 0.461)
Se (0.373, 0.373, 0.034)
Se (0.627, 0.627, 0.966)
Se (0.873, 0.873, 0.539)

Values from the calculation:
**Total DFT energy (no corrections)**: -5.541 eV/atom
**E_form (uncorrected)**: -0.39 eV/atom
**Space-group type**: C2/m, No. 12
**Crystal system**: monoclinic
**Polymorph energy (0 for the lowest one)**: 0 meV/atom

Entry 10:
The following is a PBE calculation of a relaxed structure of Cr2RhSe, from Alexandria.

Lattice parameters (Å, degrees): 3.271 4.238 4.271 90.00 90.00 90.00
Element x y z (fractional)
Cr (0.000, 0.000, 0.000)
Cr (0.000, 0.500, 0.340)
Rh (0.500, 0.500, 0.845)
Se (0.500, 0.000, 0.488)

Values from the calculation:
**Total DFT energy (no corrections)**: -7.457 eV/atom
**E_form (uncorrected)**: 0.06 eV/atom
**Space-group type**: Pmm2, No. 25
**Crystal system**: orthorhombic

Entry 11:
The following is a PBE calculation of a relaxed structure of Cr2RhSe, from Alexandria.

Lattice parameters (Å, degrees): 5.513 5.513 5.513 103.16 103.16 123.00
Element x y z (fractional)
Cr (0.111, 0.625, 0.986)
Cr (0.375, 0.361, 0.486)
Cr (0.639, 0.125, 0.014)
Cr (0.875, 0.889, 0.514)
Rh (0.250, 0.750, 0.500)
Rh (0.500, 0.500, 0.000)
Se (0.000, 0.000, 0.000)
Se (0.750, 0.250, 0.500)

Values from the calculation:
**Total DFT energy (no corrections)**: -7.171 eV/atom
**E_form (uncorrected)**: 0.35 eV/atom
**Space-group type**: I-42d, No. 122
**Crystal system**: tetragonal

Entry 12:
The following is a PBE calculation of a relaxed structure of Cr2RhSe, from Alexandria.

Lattice parameters (Å, degrees): 4.588 4.588 4.588 129.52 129.52 74.17
Element x y z (fractional)
Cr (0.250, 0.750, 0.500)
Cr (0.750, 0.250, 0.500)
Rh (0.000, 0.000, 0.000)
Se (0.500, 0.500, 0.000)

Values from the calculation:
**Total DFT energy (no corrections)**: -7.262 eV/atom
**E_form (uncorrected)**: 0.26 eV/atom
**Space-group type**: I4/mmm, No. 139
**Crystal system**: tetragonal